# BMoOsPb2 PBE-GGA optimized geometry
# Formation energy, eV per atom: 1.88
data_BMoOsPb2
_chemical_formula_sum 'B1 Mo1 Os1 Pb2'
_symmetry_space_group_name_H-M 'P 4/m m m'
_symmetry_Int_Tables_number 123
_symmetry_space_group_name_Hall '-P 4 2'
_cell_length_a 5.2320
_cell_length_b 5.2320
_cell_length_c 4.8932
_cell_angle_alpha 90.00
_cell_angle_beta 90.00
_cell_angle_gamma 90.00
loop_
_atom_site_label
_atom_site_fract_x
_atom_site_fract_y
_atom_site_fract_z
B1 0.0000 0.0000 0.0000
Mo1 0.5000 0.5000 0.0000
Os1 0.5000 0.5000 0.5000
Pb1 0.0000 0.5000 0.5000

=====

# BMo2OsPd PBE-GGA optimized geometry
# Formation energy, eV per atom: 1.41
data_BMo2OsPd
_chemical_formula_sum 'B1 Mo2 Os1 Pd1'
_symmetry_space_group_name_H-M 'P 4/m m m'
_symmetry_Int_Tables_number 123
_symmetry_space_group_name_Hall '-P 4 2'
_cell_length_a 4.7840
_cell_length_b 4.7840
_cell_length_c 3.9527
_cell_angle_alpha 90.00
_cell_angle_beta 90.00
_cell_angle_gamma 90.00
loop_
_atom_site_label
_atom_site_fract_x
_atom_site_fract_y
_atom_site_fract_z
B1 0.0000 0.0000 0.0000
Mo1 0.0000 0.5000 0.5000
Os1 0.0000 0.0000 0.5000
Pd1 0.5000 0.5000 0.0000

=====

Number 1: total magnetization 2.19 μB per cell. Number 2: total magnetization 0.89 μB per cell.